VASP calculation (PBE) on a geometry-optimized TmInN structure.

Lattice parameters (Å, degrees): 3.917 4.804 6.104 90.00 90.00 90.00
Atoms (fractional coordinates):
1 N 0.000 0.000 0.413
2 N 0.500 0.500 0.587
3 Tm 0.000 0.500 0.401
4 Tm 0.500 0.000 0.599
5 In 0.000 0.000 0.041
6 In 0.500 0.500 0.959

Output
* density: 8.61 g cm⁻³
* energy relative to the elements, uncorrected: -0.96 eV per atom